Entry 1:
## Zr2TaAl2 (PBE)

Data for a relaxed Zr2TaAl2 crystal.

Values from the calculation:
N(E_F) (states/eV/f.u.): 4.72
SG: P4/mbm (127)
Energy relative to the elements (eV per formula unit): -1.50
Final energy (eV/atom): -7.586
Density (g cm⁻³): 7.1

abc: 7.223 7.223 3.723
angles: 90.00 90.00 90.00
Sites, in units of the cell vectors:
1 Zr 0.177 0.323 0.000
2 Zr 0.323 0.823 0.000
3 Zr 0.677 0.177 0.000
4 Zr 0.823 0.677 0.000
5 Ta 0.000 0.000 0.500
6 Ta 0.500 0.500 0.500
7 Al 0.125 0.625 0.500
8 Al 0.375 0.125 0.500
9 Al 0.625 0.875 0.500
10 Al 0.875 0.375 0.500

=====

Entry 2:
## Zr6TaAl5 (PBE)

Data for a relaxed Zr6TaAl5 crystal.

Values from the calculation:
N(E_F) (states/eV/f.u.): 10.01
SG: P2/m (10)
Energy relative to the elements (eV per formula unit): -4.28
Final energy (eV/atom): -7.178
Density (g cm⁻³): 6.1

abc: 5.059 6.272 7.447
angles: 90.00 96.31 90.00
Sites, in units of the cell vectors:
1 Zr 0.000 0.244 0.000
2 Zr 0.000 0.756 0.000
3 Zr 0.345 0.249 0.668
4 Zr 0.345 0.751 0.668
5 Zr 0.655 0.249 0.332
6 Zr 0.655 0.751 0.332
7 Ta 0.500 0.500 0.000
8 Al 0.158 0.000 0.341
9 Al 0.161 0.500 0.324
10 Al 0.500 0.000 0.000
11 Al 0.839 0.500 0.676
12 Al 0.842 0.000 0.659

=====

Entry 3:
## ZrTa4Al (PBE)

Data for a relaxed ZrTa4Al crystal.

Values from the calculation:
N(E_F) (states/eV/f.u.): 6.06
SG: F-43m (216)
Energy relative to the elements (eV per formula unit): 1.15
Final energy (eV/atom): -9.759
Density (g cm⁻³): 11.8

abc: 5.518 5.518 5.518
angles: 60.00 60.00 60.00
Sites, in units of the cell vectors:
1 Zr 0.000 0.000 0.000
2 Ta 0.374 0.374 0.374
3 Ta 0.374 0.374 0.879
4 Ta 0.374 0.879 0.374
5 Ta 0.879 0.374 0.374
6 Al 0.750 0.750 0.750

=====

Entry 4:
## Zr3TaAl8 (PBE)

Data for a relaxed Zr3TaAl8 crystal.

Values from the calculation:
N(E_F) (states/eV/f.u.): 4.22
SG: R3m (160)
Energy relative to the elements (eV per formula unit): -5.33
Final energy (eV/atom): -6.064
Density (g cm⁻³): 5.4

abc: 9.117 9.117 9.117
angles: 33.60 33.60 33.60
Sites, in units of the cell vectors:
1 Zr 0.000 0.000 0.000
2 Zr 0.127 0.127 0.127
3 Zr 0.624 0.624 0.624
4 Ta 0.501 0.501 0.501
5 Al 0.063 0.063 0.562
6 Al 0.063 0.562 0.063
7 Al 0.064 0.563 0.563
8 Al 0.313 0.313 0.313
9 Al 0.562 0.063 0.063
10 Al 0.563 0.064 0.563
11 Al 0.563 0.563 0.064
12 Al 0.813 0.813 0.813